[1]
Entry from the Alexandria database: Al4TlSe at its PBEsol-relaxed geometry (meta-GGA SCAN).

a = 5.5440 Å, b = 5.5440 Å, c = 5.5440 Å
α = 60.00°, β = 60.00°, γ = 60.00°
Closest atoms and distances in Å follow each position.
Element x y z (fractional)
1 Al 0.3746 0.8763 0.3746  6 Al 2.76-2.78
2 Al 0.8763 0.3746 0.3746  6 Al 2.76-2.78
3 Al 0.3746 0.3746 0.3746  6 Al 2.76-2.78
4 Al 0.3746 0.3746 0.8763  6 Al 2.76-2.78
5 Tl 0.0000 0.0000 0.0000  12 Al 3.25, 4 Se 3.39
6 Se 0.7500 0.7500 0.7500  12 Al 3.25, 4 Tl 3.39

Computed properties:
Formation energy from raw total energies ... 272 meV per atom

***

[2]
Entry from the Alexandria database: ZrTlNi2 at its PBEsol-relaxed geometry (meta-GGA SCAN).

a = 4.4787 Å, b = 4.4787 Å, c = 4.4787 Å
α = 60.00°, β = 60.00°, γ = 60.00°
Closest atoms and distances in Å follow each position.
Element x y z (fractional)
1 Tl 0.5000 0.5000 0.5000  4 Zr 2.74, 4 Ni 2.74
2 Ni 0.2500 0.2500 0.2500  4 Tl 2.74, 4 Ni 2.74
3 Ni 0.0000 0.0000 0.0000  4 Zr 2.74, 4 Ni 2.74
4 Zr 0.7500 0.7500 0.7500  4 Tl 2.74, 4 Ni 2.74

Computed properties:
Energy of formation from the pure elements ... 0.08 eV/atom

***

[3]
Entry from the Alexandria database: SrCd2H at its PBEsol-relaxed geometry (meta-GGA SCAN).

a = 5.1822 Å, b = 5.1822 Å, c = 5.1822 Å
α = 60.00°, β = 60.00°, γ = 60.00°
Closest atoms and distances in Å follow each position.
Element x y z (fractional)
1 Cd 0.7500 0.7500 0.7500  4 Sr 3.17, 4 H 3.17
2 Cd 0.2500 0.2500 0.2500  4 Sr 3.17, 4 H 3.17
3 Sr 0.5000 0.5000 0.5000  8 Cd 3.17
4 H 0.0000 0.0000 0.0000  8 Cd 3.17

Computed properties:
Final energy ... -85.0 eV for the cell shown